NpCd3Au3 after structural relaxation. Source: the Alexandria database, functional PBE-GGA.

Lattice parameters (Å, degrees): 7.542 7.542 7.542 90.00 90.00 90.00
Space group Pm-3n (No. 223)
One atom of each set of equivalent atoms:
1 Np 0.000 0.000 0.000 [2 per cell]
2 Cd 0.000 0.250 0.500 [6 per cell]
3 Au 0.000 0.500 0.250 [6 per cell]

Mass density, kg/m3: 9021
DFT formation energy, eV/atom: 0.468

***

SmIn2Cu after structural relaxation. Source: the Alexandria database, functional PBE-GGA.

Lattice parameters (Å, degrees): 4.685 4.685 16.459 90.00 90.00 90.00
Space group I4/mmm (No. 139)
One atom of each set of equivalent atoms:
1 Sm 0.000 0.000 0.139 [4 per cell]
2 In 0.000 0.000 0.346 [4 per cell]
3 In 0.000 0.500 0.000 [4 per cell]
4 Cu 0.000 0.500 0.250 [4 per cell]

Mass density, kg/m3: 8155
DFT formation energy, eV/atom: -0.377

***

La2Be3SiPt4 after structural relaxation. Source: the Alexandria database, functional PBE-GGA.

Lattice parameters (Å, degrees): 4.176 4.176 9.754 90.00 90.00 90.00
Space group P-4m2 (No. 115)
One atom of each set of equivalent atoms:
1 La 0.000 0.500 0.249 [2 per cell]
2 Be 0.000 0.000 0.000 [1 per cell]
3 Be 0.000 0.500 0.618 [2 per cell]
4 Si 0.500 0.500 0.000 [1 per cell]
5 Pt 0.000 0.000 0.500 [1 per cell]
6 Pt 0.000 0.500 0.872 [2 per cell]
7 Pt 0.500 0.500 0.500 [1 per cell]

Mass density, kg/m3: 10869
Formation energy from raw total energies, eV/atom: -0.922

***

LaNiHg2Pb after structural relaxation. Source: the Alexandria database, functional PBE-GGA.

Lattice parameters (Å, degrees): 5.095 5.095 5.089 90.00 90.00 90.00
Space group P4/mmm (No. 123)
One atom of each set of equivalent atoms:
1 La 0.000 0.000 0.000 [1 per cell]
2 Ni 0.000 0.000 0.500 [1 per cell]
3 Hg 0.000 0.500 0.500 [2 per cell]
4 Pb 0.500 0.500 0.000 [1 per cell]

E above lowest polymorph, eV/atom: 0.0000
Mass density, kg/m3: 10133
DFT formation energy, eV/atom: -0.225

***

DyIn4CuS8 after structural relaxation. Source: the Alexandria database, functional PBE-GGA.

Lattice parameters (Å, degrees): 7.7354 7.7354 18.7757 90.00 90.00 120.00
Space group R3m (No. 160, hexagonal axes)
One atom of each set of equivalent atoms:
1 Dy 0.0000 0.0000 0.0000 [3 per cell]
2 In 0.0000 0.0000 0.6139 [3 per cell]
3 In 0.1747 0.3495 0.8221 [9 per cell]
4 Cu 0.0000 0.0000 0.3661 [3 per cell]
5 S 0.0000 0.0000 0.2387 [3 per cell]
6 S 0.0000 0.0000 0.7501 [3 per cell]
7 S 0.1682 0.3363 0.0773 [9 per cell]
8 S 0.1769 0.3538 0.5702 [9 per cell]

Mass density, kg/m3: 4822
Formation energy from raw total energies, eV/atom: -0.771

***

Sm2HoHf after structural relaxation. Source: the Alexandria database, functional PBE-GGA.

Lattice parameters (Å, degrees): 3.3645 3.3645 36.2771 90.00 90.00 120.00
Space group R-3m (No. 166, hexagonal axes)
One atom of each set of equivalent atoms:
1 Sm 0.0000 0.0000 0.0859 [6 per cell]
2 Ho 0.0000 0.0000 0.5000 [3 per cell]
3 Hf 0.0000 0.0000 0.0000 [3 per cell]

E above lowest polymorph, eV/atom: 0.2231
Mass density, kg/m3: 9023
DFT formation energy, eV/atom: 0.370

***

OsRh2Br after structural relaxation. Source: the Alexandria database, functional PBE-GGA.

Lattice parameters (Å, degrees): 2.845 4.650 4.713 90.00 90.00 90.00
Space group Pmmm (No. 47)
One atom of each set of equivalent atoms:
1 Os 0.000 0.000 0.000 [1 per cell]
2 Rh 0.000 0.500 0.500 [1 per cell]
3 Rh 0.500 0.500 0.000 [1 per cell]
4 Br 0.500 0.000 0.500 [1 per cell]

E above lowest polymorph, eV/atom: 0.4964
Mass density, kg/m3: 12675
Formation energy from raw total energies, eV/atom: 0.967

***

LaAlSn3 after structural relaxation. Source: the Alexandria database, functional PBE-GGA.

Lattice parameters (Å, degrees): 6.020 6.020 6.020 90.00 90.00 90.00
Space group Pm-3m (No. 221)
One atom of each set of equivalent atoms:
1 La 0.000 0.000 0.000 [1 per cell]
2 Al 0.500 0.500 0.500 [1 per cell]
3 Sn 0.000 0.000 0.500 [3 per cell]

E above lowest polymorph, eV/atom: 0.8022
Mass density, kg/m3: 3973
DFT formation energy, eV/atom: 0.795

***

SrHg2Pb2 after structural relaxation. Source: the Alexandria database, functional PBE-GGA.

Lattice parameters (Å, degrees): 5.640 6.465 9.324 77.82 73.10 70.03
Space group P-1 (No. 2)
One atom of each set of equivalent atoms:
1 Sr 0.243 0.332 0.278 [2 per cell]
2 Hg 0.120 0.719 0.956 [2 per cell]
3 Hg 0.325 0.726 0.485 [2 per cell]
4 Pb 0.142 0.107 0.682 [2 per cell]
5 Pb 0.488 0.211 0.877 [2 per cell]

E above lowest polymorph, eV/atom: 0.0197
Mass density, kg/m3: 9888
DFT formation energy, eV/atom: -0.280

***

PaZnHg after structural relaxation. Source: the Alexandria database, functional PBE-GGA.

Lattice parameters (Å, degrees): 4.285 13.733 4.339 90.00 90.00 90.00
Space group Cmcm (No. 63)
One atom of each set of equivalent atoms:
1 Pa 0.000 0.248 0.250 [4 per cell]
2 Zn 0.000 0.422 0.750 [4 per cell]
3 Hg 0.000 0.074 0.750 [4 per cell]

E above lowest polymorph, eV/atom: 0.0894
Mass density, kg/m3: 12929
DFT formation energy, eV/atom: 0.083

***

PmSm4ErSe8 after structural relaxation. Source: the Alexandria database, functional PBE-GGA.

Lattice parameters (Å, degrees): 8.5638 8.5638 20.9919 90.00 90.00 120.00
Space group R3m (No. 160, hexagonal axes)
One atom of each set of equivalent atoms:
1 Pm 0.0000 0.0000 0.0000 [3 per cell]
2 Sm 0.0000 0.0000 0.6238 [3 per cell]
3 Sm 0.1682 0.3364 0.8316 [9 per cell]
4 Er 0.0000 0.0000 0.3734 [3 per cell]
5 Se 0.0000 0.0000 0.2441 [3 per cell]
6 Se 0.0000 0.0000 0.7567 [3 per cell]
7 Se 0.0105 0.5052 0.7506 [9 per cell]
8 Se 0.1769 0.3537 0.5789 [9 per cell]

Mass density, kg/m3: 5774
Formation energy from raw total energies, eV/atom: -1.724

***

TiV2Si2 after structural relaxation. Source: the Alexandria database, functional PBE-GGA.

Lattice parameters (Å, degrees): 4.533 3.165 10.302 90.00 96.56 90.00
Space group P2_1/m (No. 11)
One atom of each set of equivalent atoms:
1 Ti 0.197 0.250 0.268 [2 per cell]
2 V 0.245 0.750 0.482 [2 per cell]
3 V 0.354 0.250 0.910 [2 per cell]
4 Si 0.147 0.750 0.061 [2 per cell]
5 Si 0.292 0.250 0.667 [2 per cell]

E above lowest polymorph, eV/atom: 0.3088
Mass density, kg/m3: 4658
Formation energy from raw total energies, eV/atom: -0.304

***

Li3Cd6Cu after structural relaxation. Source: the Alexandria database, functional PBE-GGA.

Lattice parameters (Å, degrees): 7.949 4.800 10.610 90.00 111.07 90.00
Space group P2_1/m (No. 11)
One atom of each set of equivalent atoms:
1 Li 0.098 0.250 0.226 [2 per cell]
2 Li 0.297 0.250 0.022 [2 per cell]
3 Li 0.323 0.750 0.377 [2 per cell]
4 Cd 0.065 0.250 0.708 [2 per cell]
5 Cd 0.098 0.750 0.074 [2 per cell]
6 Cd 0.265 0.250 0.512 [2 per cell]
7 Cd 0.286 0.750 0.856 [2 per cell]
8 Cd 0.495 0.750 0.163 [2 per cell]
9 Cd 0.500 0.250 0.337 [2 per cell]
10 Cu 0.105 0.750 0.568 [2 per cell]

Mass density, kg/m3: 6671
DFT formation energy, eV/atom: -0.159

***

LaSmPuMg after structural relaxation. Source: the Alexandria database, functional PBE-GGA.

Lattice parameters (Å, degrees): 7.892 7.892 7.892 90.00 90.00 90.00
Space group F-43m (No. 216)
One atom of each set of equivalent atoms:
1 La 0.000 0.000 0.000 [4 per cell]
2 Sm 0.000 0.000 0.500 [4 per cell]
3 Pu 0.250 0.250 0.250 [4 per cell]
4 Mg 0.250 0.250 0.750 [4 per cell]

Mass density, kg/m3: 7535
DFT formation energy, eV/atom: 0.138

***

ZnSeIO2 after structural relaxation. Source: the Alexandria database, functional PBE-GGA.

Lattice parameters (Å, degrees): 3.937 3.937 7.432 90.00 90.00 90.00
Space group P4/mmm (No. 123)
One atom of each set of equivalent atoms:
1 Zn 0.000 0.000 0.000 [1 per cell]
2 Se 0.500 0.500 0.500 [1 per cell]
3 I 0.000 0.000 0.500 [1 per cell]
4 O 0.000 0.500 0.000 [2 per cell]

E above lowest polymorph, eV/atom: 0.1980
Mass density, kg/m3: 4372
Formation energy from raw total energies, eV/atom: 0.176

***

LiV3Bi after structural relaxation. Source: the Alexandria database, functional PBE-GGA.

Lattice parameters (Å, degrees): 5.304 5.304 5.304 90.00 90.00 90.00
Space group Pm-3m (No. 221)
One atom of each set of equivalent atoms:
1 Li 0.000 0.000 0.000 [1 per cell]
2 V 0.000 0.500 0.500 [3 per cell]
3 Bi 0.500 0.500 0.500 [1 per cell]

E above lowest polymorph, eV/atom: 0.4796
Mass density, kg/m3: 4104
DFT formation energy, eV/atom: 1.489

***

Tb2Ho3Er6Mg after structural relaxation. Source: the Alexandria database, functional PBE-GGA.

Lattice parameters (Å, degrees): 6.059 10.500 11.601 90.00 100.09 90.00
Space group C2/m (No. 12)
One atom of each set of equivalent atoms:
1 Tb 0.000 0.166 0.000 [4 per cell]
2 Ho 0.000 0.000 0.500 [2 per cell]
3 Ho 0.000 0.334 0.500 [4 per cell]
4 Er 0.249 0.334 0.249 [8 per cell]
5 Er 0.250 0.000 0.250 [4 per cell]
6 Mg 0.000 0.500 0.000 [2 per cell]

Mass density, kg/m3: 8411
DFT formation energy, eV/atom: 0.029

***

Ca2SmCu2S4 after structural relaxation. Source: the Alexandria database, functional PBE-GGA.

Lattice parameters (Å, degrees): 14.301 3.787 7.086 90.00 110.45 90.00
Space group C2/m (No. 12)
One atom of each set of equivalent atoms:
1 Ca 0.135 0.000 0.079 [4 per cell]
2 Sm 0.000 0.000 0.500 [2 per cell]
3 Cu 0.186 0.500 0.516 [4 per cell]
4 S 0.036 0.500 0.241 [4 per cell]
5 S 0.207 0.000 0.733 [4 per cell]

Mass density, kg/m3: 4488
Formation energy from raw total energies, eV/atom: -1.329

***

BaGd2Ru after structural relaxation. Source: the Alexandria database, functional PBE-GGA.

Lattice parameters (Å, degrees): 4.1625 4.1625 28.7399 90.00 90.00 120.00
Space group R-3m (No. 166, hexagonal axes)
One atom of each set of equivalent atoms:
1 Ba 0.0000 0.0000 0.0000 [3 per cell]
2 Gd 0.0000 0.0000 0.2149 [6 per cell]
3 Ru 0.0000 0.0000 0.5000 [3 per cell]

E above lowest polymorph, eV/atom: 0.0224
Mass density, kg/m3: 6387
DFT formation energy, eV/atom: -0.087

***

Be2Si2Ag after structural relaxation. Source: the Alexandria database, functional PBE-GGA.

Lattice parameters (Å, degrees): 7.181 7.181 2.584 90.00 90.00 90.00
Space group P4/mbm (No. 127)
One atom of each set of equivalent atoms:
1 Be 0.160 0.340 0.000 [4 per cell]
2 Si 0.132 0.632 0.500 [4 per cell]
3 Ag 0.000 0.000 0.500 [2 per cell]

E above lowest polymorph, eV/atom: 0.1019
Mass density, kg/m3: 4538
Formation energy from raw total energies, eV/atom: 0.424